Compound: Fe2ReW
Source: Alexandria via LeMat-Bulk
Functional: PBE
Structure: relaxed

Output
Uncorrected energy = -10.423 eV per atom
Density = 14.5 g/cm³

Lattice parameters (Å, degrees): 2.6158 2.6158 8.4685 90.00 90.00 107.64
Atoms (fractional coordinates):
Fe1 0.0000 0.0000 0.0024
Fe2 0.0000 0.0000 0.4976
Re1 0.5000 0.5000 0.2500
W1 0.5000 0.5000 0.7500